Below is a relaxed Pm5CdGa4 crystal, with properties calculated at the PBE level.

Summary:
**Space group**: P4/mmm, No. 123
**E**: -41.97 eV/cell
**Mass density**: 7.31 g cm⁻³
**Magnetic moment**: 0.00 μB/cell
**V**: 253.54 Å³ per cell

a b c (Å): 3.6742 3.6742 18.7805
angles (deg): 90.00 90.00 90.00
Last column: nearest neighbours and their distance in Å.
Sites, in units of the cell vectors:
Pm: 0.0000 0.0000 0.0000  8 Ga 3.17
Pm: 0.0000 0.0000 0.1944  8 Ga 3.18-3.21
Pm: 0.0000 0.0000 0.3893  4 Ga 3.15, 4 Cd 3.33
Pm: 0.0000 0.0000 0.6107  4 Ga 3.15, 4 Cd 3.33
Pm: 0.0000 0.0000 0.8056  8 Ga 3.18-3.21
Cd: 0.5000 0.5000 0.5000  8 Pm 3.33, 4 Cd 3.67
Ga: 0.5000 0.5000 0.0970  8 Pm 3.17-3.18
Ga: 0.5000 0.5000 0.2945  8 Pm 3.15-3.21
Ga: 0.5000 0.5000 0.7055  8 Pm 3.15-3.21
Ga: 0.5000 0.5000 0.9030  8 Pm 3.17-3.18